Record 1
Entry from Alexandria via LeMat-Bulk: a relaxed SmDyCuSn crystal (GGA-PBE).

Results
Symmetry: F-43m
Energy relative to the elements in eV per atom: -0.43
Magnetization in Bohr magnetons per cell: 0.001
Calculated total energy in eV per atom: -4.78
Calculated volume in Å³/f.u.: 99.3

abc: 5.198 5.198 5.198
angles: 60.00 60.00 60.00
Atoms (fractional coordinates):
Sm (0.500, 0.500, 0.500)
Sn (0.750, 0.750, 0.750)
Dy (0.000, 0.000, 0.000)
Cu (0.250, 0.250, 0.250)

=====

Record 2
Entry from Alexandria via LeMat-Bulk: a relaxed SmDyCuTc crystal (GGA-PBE).

Results
Symmetry: F-43m
Energy relative to the elements in eV per atom: -0.04
Magnetization in Bohr magnetons per cell: 0.000
Calculated total energy in eV per atom: -5.99
Calculated volume in Å³/f.u.: 84.1

abc: 4.918 4.918 4.918
angles: 60.00 60.00 60.00
Atoms (fractional coordinates):
Cu (0.250, 0.250, 0.250)
Sm (0.500, 0.500, 0.500)
Tc (0.750, 0.750, 0.750)
Dy (0.000, 0.000, 0.000)

=====

Record 3
Entry from Alexandria via LeMat-Bulk: a relaxed SmDyTmCu crystal (GGA-PBE).

Results
Symmetry: P4mm
Energy relative to the elements in eV per atom: -0.11
Magnetization in Bohr magnetons per cell: 0.000
Calculated total energy in eV per atom: -4.58
Calculated volume in Å³/f.u.: 105.5

abc: 3.487 3.487 8.675
angles: 90.00 90.00 90.00
Atoms (fractional coordinates):
Tm (0.500, 0.500, 0.379)
Cu (0.000, 0.000, 0.565)
Dy (0.500, 0.500, 0.766)
Sm (0.000, 0.000, 0.075)

=====

Record 4
Entry from Alexandria via LeMat-Bulk: a relaxed SmDyZnCu crystal (GGA-PBE).

Results
Symmetry: F-43m
Energy relative to the elements in eV per atom: -0.26
Magnetization in Bohr magnetons per cell: 0.000
Calculated total energy in eV per atom: -3.94
Calculated volume in Å³/f.u.: 90.0
ΔE to the lowest computed polymorph in eV per atom: 0.007

abc: 5.031 5.031 5.031
angles: 60.00 60.00 60.00
Atoms (fractional coordinates):
Dy (0.000, 0.000, 0.000)
Cu (0.250, 0.250, 0.250)
Sm (0.500, 0.500, 0.500)
Zn (0.750, 0.750, 0.750)

=====

Record 5
Entry from Alexandria via LeMat-Bulk: a relaxed SmDyZnCu crystal (GGA-PBE).

Results
Symmetry: P4mm
Energy relative to the elements in eV per atom: -0.27
Magnetization in Bohr magnetons per cell: 0.000
Calculated total energy in eV per atom: -3.94
Calculated volume in Å³/f.u.: 90.0
ΔE to the lowest computed polymorph in eV per atom: 0.000

abc: 3.548 3.548 7.145
angles: 90.00 90.00 90.00
Atoms (fractional coordinates):
Dy (0.500, 0.500, 0.599)
Sm (0.500, 0.500, 0.112)
Cu (0.000, 0.000, 0.370)
Zn (0.000, 0.000, 0.847)

=====

Record 6
Entry from Alexandria via LeMat-Bulk: a relaxed Dy5Cu2Sn crystal (GGA-PBE).

Results
Symmetry: I4/mcm
Energy relative to the elements in eV per atom: -0.35
Magnetization in Bohr magnetons per cell: 0.000
Calculated total energy in eV per atom: -4.75
Calculated volume in Å³/f.u.: 202.5

abc: 7.870 7.870 8.587
angles: 117.28 117.28 90.00
Atoms (fractional coordinates):
Dy (0.986, 0.486, 0.285)
Dy (0.201, 0.014, 0.715)
Dy (0.799, 0.986, 0.285)
Dy (0.014, 0.514, 0.715)
Dy (0.500, 0.500, 0.000)
Dy (0.000, 0.000, 0.000)
Dy (0.299, 0.799, 0.285)
Dy (0.701, 0.201, 0.715)
Dy (0.486, 0.299, 0.285)
Dy (0.514, 0.701, 0.715)
Cu (0.871, 0.629, 0.000)
Cu (0.371, 0.871, 0.000)
Cu (0.629, 0.129, 0.000)
Cu (0.129, 0.371, 0.000)
Sn (0.250, 0.250, 0.500)
Sn (0.750, 0.750, 0.500)

=====

Record 7
Entry from Alexandria via LeMat-Bulk: a relaxed Dy3CuSn3 crystal (GGA-PBE).

Results
Symmetry: C2/m
Energy relative to the elements in eV per atom: -0.64
Magnetization in Bohr magnetons per cell: 0.000
Calculated total energy in eV per atom: -4.92
Calculated volume in Å³/f.u.: 175.5

abc: 4.475 6.041 14.173
angles: 84.03 80.92 68.26
Atoms (fractional coordinates):
Cu (0.768, 0.075, 0.389)
Cu (0.232, 0.925, 0.611)
Dy (0.596, 0.729, 0.079)
Dy (0.738, 0.754, 0.770)
Dy (0.404, 0.271, 0.921)
Dy (0.530, 0.324, 0.616)
Dy (0.262, 0.246, 0.230)
Dy (0.470, 0.676, 0.384)
Sn (0.977, 0.810, 0.236)
Sn (0.146, 0.253, 0.454)
Sn (0.869, 0.186, 0.076)
Sn (0.023, 0.190, 0.764)
Sn (0.854, 0.747, 0.546)
Sn (0.131, 0.814, 0.924)

=====

Record 8
Entry from Alexandria via LeMat-Bulk: a relaxed Dy4Cu7Sn11 crystal (GGA-PBE).

Results
Symmetry: P4mm
Energy relative to the elements in eV per atom: -0.28
Magnetization in Bohr magnetons per cell: 0.000
Calculated total energy in eV per atom: -4.42
Calculated volume in Å³/f.u.: 491.3

abc: 4.427 4.427 25.071
angles: 90.00 90.00 90.00
Atoms (fractional coordinates):
Sn (0.500, 0.000, 0.291)
Sn (0.000, 0.500, 0.899)
Sn (0.000, 0.500, 0.782)
Sn (0.500, 0.500, 0.020)
Sn (0.500, 0.000, 0.407)
Sn (0.000, 0.500, 0.291)
Sn (0.500, 0.000, 0.899)
Sn (0.000, 0.000, 0.530)
Sn (0.500, 0.000, 0.782)
Sn (0.000, 0.000, 0.136)
Sn (0.000, 0.500, 0.407)
Cu (0.000, 0.500, 0.589)
Cu (0.500, 0.500, 0.724)
Cu (0.500, 0.500, 0.630)
Cu (0.500, 0.000, 0.589)
Cu (0.000, 0.500, 0.081)
Cu (0.000, 0.000, 0.235)
Cu (0.500, 0.000, 0.081)
Dy (0.500, 0.500, 0.184)
Dy (0.000, 0.000, 0.676)
Dy (0.000, 0.000, 0.996)
Dy (0.500, 0.500, 0.502)

=====

Record 9
Entry from Alexandria via LeMat-Bulk: a relaxed DyCuSn2 crystal (GGA-PBE).

Results
Symmetry: P4/nmm
Energy relative to the elements in eV per atom: -0.46
Magnetization in Bohr magnetons per cell: 0.000
Calculated total energy in eV per atom: -4.63
Calculated volume in Å³/f.u.: 90.2

abc: 4.402 4.402 9.313
angles: 90.00 90.00 90.00
Atoms (fractional coordinates):
Sn (0.000, 0.000, 0.500)
Sn (0.000, 0.500, 0.831)
Sn (0.500, 0.000, 0.169)
Sn (0.500, 0.500, 0.500)
Dy (0.500, 0.000, 0.768)
Dy (0.000, 0.500, 0.232)
Cu (0.000, 0.000, 0.000)
Cu (0.500, 0.500, 0.000)

=====

Record 10
Entry from Alexandria via LeMat-Bulk: a relaxed DyCu9Sn2 crystal (GGA-PBE).

Results
Symmetry: R-3m
Energy relative to the elements in eV per atom: -0.11
Magnetization in Bohr magnetons per cell: 0.000
Calculated total energy in eV per atom: -4.24
Calculated volume in Å³/f.u.: 182.0
ΔE to the lowest computed polymorph in eV per atom: 0.040

abc: 5.073 5.073 8.676
angles: 73.00 73.00 60.00
Atoms (fractional coordinates):
Cu (0.919, 0.416, 0.249)
Cu (0.416, 0.919, 0.249)
Cu (0.584, 0.584, 0.751)
Cu (0.416, 0.416, 0.249)
Cu (0.334, 0.334, 0.999)
Cu (0.081, 0.584, 0.751)
Cu (0.666, 0.666, 0.001)
Cu (0.584, 0.081, 0.751)
Cu (0.500, 0.500, 0.500)
Sn (0.138, 0.138, 0.585)
Sn (0.862, 0.862, 0.415)
Dy (0.000, 0.000, 0.000)

=====

Record 11
Entry from Alexandria via LeMat-Bulk: a relaxed DyCuSn2 crystal (GGA-PBE).

Results
Symmetry: P4/mmm
Energy relative to the elements in eV per atom: -0.35
Magnetization in Bohr magnetons per cell: 0.000
Calculated total energy in eV per atom: -4.53
Calculated volume in Å³/f.u.: 89.2

abc: 4.371 4.516 4.516
angles: 90.00 90.00 90.00
Atoms (fractional coordinates):
Dy (0.500, 0.500, 0.500)
Cu (0.500, 0.000, 0.000)
Sn (0.000, 0.000, 0.500)
Sn (0.000, 0.500, 0.000)

=====

Record 12
Entry from Alexandria via LeMat-Bulk: a relaxed DyCuSn2 crystal (GGA-PBE).

Results
Symmetry: R-3m
Energy relative to the elements in eV per atom: 0.12
Magnetization in Bohr magnetons per cell: 0.000
Calculated total energy in eV per atom: -4.06
Calculated volume in Å³/f.u.: 102.3

abc: 3.416 3.416 10.314
angles: 80.47 80.47 60.00
Atoms (fractional coordinates):
Dy (0.000, 0.000, 0.000)
Cu (0.500, 0.500, 0.500)
Sn (0.897, 0.897, 0.309)
Sn (0.103, 0.103, 0.691)

=====

Record 13
Entry from Alexandria via LeMat-Bulk: a relaxed Dy3Cu4Sn4 crystal (GGA-PBE).

Results
Symmetry: Immm
Energy relative to the elements in eV per atom: -0.51
Magnetization in Bohr magnetons per cell: 0.000
Calculated total energy in eV per atom: -4.71
Calculated volume in Å³/f.u.: 229.4

abc: 8.452 8.452 8.452
angles: 149.29 131.43 58.57
Atoms (fractional coordinates):
Dy (0.631, 0.131, 0.500)
Dy (0.369, 0.869, 0.500)
Dy (0.000, 0.000, 0.000)
Sn (0.216, 0.216, 0.000)
Sn (0.297, 0.500, 0.797)
Sn (0.703, 0.500, 0.203)
Sn (0.784, 0.784, 0.000)
Cu (0.017, 0.329, 0.688)
Cu (0.641, 0.329, 0.312)
Cu (0.983, 0.671, 0.312)
Cu (0.359, 0.671, 0.688)

=====

Record 14
Entry from Alexandria via LeMat-Bulk: a relaxed Dy7Cu2Sn2 crystal (GGA-PBE).

Results
Symmetry: Cmmm
Energy relative to the elements in eV per atom: -0.16
Magnetization in Bohr magnetons per cell: 0.000
Calculated total energy in eV per atom: -4.57
Calculated volume in Å³/f.u.: 311.8

abc: 6.897 6.898 6.897
angles: 90.00 108.16 90.00
Atoms (fractional coordinates):
Sn (0.179, 0.500, 0.179)
Sn (0.821, 0.500, 0.821)
Dy (0.000, 0.000, 0.000)
Dy (0.000, 0.255, 0.500)
Dy (0.000, 0.745, 0.500)
Dy (0.500, 0.237, 0.500)
Dy (0.500, 0.763, 0.500)
Dy (0.500, 0.255, 0.000)
Dy (0.500, 0.745, 0.000)
Cu (0.709, 0.000, 0.291)
Cu (0.291, 0.000, 0.709)

=====

Record 15
Entry from Alexandria via LeMat-Bulk: a relaxed Dy3Cu6Sn5 crystal (GGA-PBE).

Results
Symmetry: Immm
Energy relative to the elements in eV per atom: -0.39
Magnetization in Bohr magnetons per cell: 0.000
Calculated total energy in eV per atom: -4.56
Calculated volume in Å³/f.u.: 275.1

abc: 4.331 8.381 8.381
angles: 72.70 75.02 75.02
Atoms (fractional coordinates):
Sn (0.336, 0.311, 0.016)
Sn (0.000, 0.500, 0.500)
Sn (0.336, 0.016, 0.311)
Sn (0.664, 0.984, 0.689)
Sn (0.664, 0.689, 0.984)
Cu (0.500, 0.690, 0.310)
Cu (0.127, 0.587, 0.159)
Cu (0.127, 0.159, 0.587)
Cu (0.500, 0.310, 0.690)
Cu (0.873, 0.413, 0.841)
Cu (0.873, 0.841, 0.413)
Dy (0.310, 0.690, 0.690)
Dy (0.690, 0.310, 0.310)
Dy (0.000, 0.000, 0.000)

=====

Record 16
Entry from Alexandria via LeMat-Bulk: a relaxed Dy8CuSn2 crystal (GGA-PBE).

Results
Symmetry: C2/m
Energy relative to the elements in eV per atom: -0.30
Magnetization in Bohr magnetons per cell: 0.000
Calculated total energy in eV per atom: -4.75
Calculated volume in Å³/f.u.: 309.1

abc: 4.986 6.697 9.870
angles: 103.76 104.63 90.00
Atoms (fractional coordinates):
Dy (0.017, 0.782, 0.035)
Dy (0.648, 0.999, 0.296)
Dy (0.983, 0.218, 0.965)
Dy (0.592, 0.471, 0.184)
Dy (0.216, 0.317, 0.431)
Dy (0.352, 0.001, 0.704)
Dy (0.784, 0.683, 0.569)
Dy (0.408, 0.529, 0.816)
Sn (0.182, 0.758, 0.364)
Sn (0.818, 0.242, 0.636)
Cu (0.500, 0.000, 0.000)

=====

Record 17
Entry from Alexandria via LeMat-Bulk: a relaxed Dy12Cu6Sn crystal (GGA-PBE).

Results
Symmetry: Im-3
Energy relative to the elements in eV per atom: -0.24
Magnetization in Bohr magnetons per cell: 0.000
Calculated total energy in eV per atom: -4.65
Calculated volume in Å³/f.u.: 479.4

abc: 8.540 8.540 8.540
angles: 109.47 109.47 109.47
Atoms (fractional coordinates):
Cu (0.124, 0.624, 0.500)
Cu (0.376, 0.500, 0.876)
Cu (0.876, 0.376, 0.500)
Cu (0.624, 0.500, 0.124)
Cu (0.500, 0.876, 0.376)
Cu (0.500, 0.124, 0.624)
Dy (0.110, 0.811, 0.299)
Dy (0.701, 0.512, 0.811)
Dy (0.189, 0.701, 0.890)
Dy (0.299, 0.110, 0.811)
Dy (0.488, 0.189, 0.299)
Dy (0.299, 0.488, 0.189)
Dy (0.811, 0.299, 0.110)
Dy (0.890, 0.189, 0.701)
Dy (0.811, 0.701, 0.512)
Dy (0.189, 0.299, 0.488)
Dy (0.512, 0.811, 0.701)
Dy (0.701, 0.890, 0.189)
Sn (0.000, 0.000, 0.000)

=====

Record 18
Entry from Alexandria via LeMat-Bulk: a relaxed Dy6Cu2Sn crystal (GGA-PBE).

Results
Symmetry: Immm
Energy relative to the elements in eV per atom: -0.29
Magnetization in Bohr magnetons per cell: 0.000
Calculated total energy in eV per atom: -4.72
Calculated volume in Å³/f.u.: 237.4

abc: 8.526 8.526 8.526
angles: 105.33 109.64 113.55
Atoms (fractional coordinates):
Cu (0.349, 0.000, 0.349)
Cu (0.500, 0.381, 0.881)
Cu (0.500, 0.619, 0.119)
Cu (0.651, 0.000, 0.651)
Dy (0.471, 0.285, 0.186)
Dy (0.801, 0.764, 0.565)
Dy (0.801, 0.236, 0.037)
Dy (0.308, 0.630, 0.322)
Dy (0.199, 0.236, 0.435)
Dy (0.099, 0.285, 0.814)
Dy (0.308, 0.986, 0.678)
Dy (0.692, 0.370, 0.678)
Dy (0.529, 0.715, 0.814)
Dy (0.692, 0.014, 0.322)
Dy (0.199, 0.764, 0.963)
Dy (0.901, 0.715, 0.186)
Sn (0.000, 0.500, 0.500)
Sn (0.000, 0.000, 0.000)

=====

Record 19
Entry from Alexandria via LeMat-Bulk: a relaxed DyCu9Sn2 crystal (GGA-PBE).

Results
Symmetry: P4/mbm
Energy relative to the elements in eV per atom: -0.15
Magnetization in Bohr magnetons per cell: 0.000
Calculated total energy in eV per atom: -4.28
Calculated volume in Å³/f.u.: 179.4
ΔE to the lowest computed polymorph in eV per atom: 0.000

abc: 4.989 8.482 8.482
angles: 90.00 90.00 90.00
Atoms (fractional coordinates):
Cu (0.500, 0.500, 0.000)
Cu (0.246, 0.827, 0.327)
Cu (0.500, 0.798, 0.065)
Cu (0.500, 0.202, 0.935)
Cu (0.246, 0.327, 0.173)
Cu (0.500, 0.000, 0.500)
Cu (0.754, 0.327, 0.173)
Cu (0.754, 0.673, 0.827)
Cu (0.500, 0.935, 0.798)
Cu (0.246, 0.173, 0.673)
Cu (0.500, 0.298, 0.435)
Cu (0.754, 0.173, 0.673)
Cu (0.500, 0.702, 0.565)
Cu (0.500, 0.565, 0.298)
Cu (0.500, 0.065, 0.202)
Cu (0.246, 0.673, 0.827)
Cu (0.754, 0.827, 0.327)
Cu (0.500, 0.435, 0.702)
Sn (0.000, 0.130, 0.370)
Sn (0.000, 0.630, 0.130)
Sn (0.000, 0.370, 0.870)
Sn (0.000, 0.870, 0.630)
Dy (0.000, 0.000, 0.000)
Dy (0.000, 0.500, 0.500)

=====

Record 20
Entry from Alexandria via LeMat-Bulk: a relaxed DyThCuSn crystal (GGA-PBE).

Results
Symmetry: F-43m
Energy relative to the elements in eV per atom: -0.30
Magnetization in Bohr magnetons per cell: 0.000
Calculated total energy in eV per atom: -5.33
Calculated volume in Å³/f.u.: 101.2

abc: 5.230 5.230 5.230
angles: 60.00 60.00 60.00
Atoms (fractional coordinates):
Th (0.500, 0.500, 0.500)
Dy (0.000, 0.000, 0.000)
Cu (0.750, 0.750, 0.750)
Sn (0.250, 0.250, 0.250)

=====

Record 21
Entry from Alexandria via LeMat-Bulk: a relaxed Dy2Zn12Cu3Sn crystal (GGA-PBE).

Results
Symmetry: R-3m
Energy relative to the elements in eV per atom: -0.01
Magnetization in Bohr magnetons per cell: 0.000
Calculated total energy in eV per atom: -2.27
Calculated volume in Å³/f.u.: 331.9

abc: 10.332 10.332 10.332
angles: 35.47 35.47 35.47
Atoms (fractional coordinates):
Cu (0.000, 0.000, 0.500)
Cu (0.000, 0.500, 0.000)
Cu (0.500, 0.000, 0.000)
Zn (0.586, 0.586, 0.192)
Zn (0.876, 0.443, 0.876)
Zn (0.586, 0.192, 0.586)
Zn (0.808, 0.414, 0.414)
Zn (0.557, 0.124, 0.124)
Zn (0.414, 0.808, 0.414)
Zn (0.443, 0.876, 0.876)
Zn (0.192, 0.586, 0.586)
Zn (0.876, 0.876, 0.443)
Zn (0.124, 0.124, 0.557)
Zn (0.414, 0.414, 0.808)
Zn (0.124, 0.557, 0.124)
Dy (0.639, 0.639, 0.639)
Dy (0.361, 0.361, 0.361)
Sn (0.000, 0.000, 0.000)

=====

Record 22
Entry from Alexandria via LeMat-Bulk: a relaxed SrDyCu4 crystal (GGA-PBE).

Results
Symmetry: F-43m
Energy relative to the elements in eV per atom: 0.00
Magnetization in Bohr magnetons per cell: 0.000
Calculated total energy in eV per atom: -3.78
Calculated volume in Å³/f.u.: 109.8

abc: 5.375 5.375 5.375
angles: 60.00 60.00 60.00
Atoms (fractional coordinates):
Cu (0.624, 0.624, 0.624)
Cu (0.624, 0.624, 0.128)
Cu (0.128, 0.624, 0.624)
Cu (0.624, 0.128, 0.624)
Dy (0.250, 0.250, 0.250)
Sr (0.000, 0.000, 0.000)